Density functional theory data (PBE) for a geometry-optimized CeEr3Tm2 structure.

For the formation energy, the calculation gives 3.59 kcal/mol of atoms. The value obtained for the total magnetic moment is 2.644 Bohr magnetons per cell. The energy above the lowest structure with this stoichiometry comes out at 0.096 eV per atom. For the calculated total energy, the calculation gives -4.605 eV/atom.

The space group is C2/m (No. 12) and the conventional cell measures 17.6962, 3.3999 and 13.9000 Å, with angles of 90.00, 118.09 and 90.00 degrees. The asymmetric unit holds Ce at (0.0485, 0.0000, 0.1133), Er at (0.0411, 0.5000, 0.7108), Er at (0.1000, 0.0000, 0.5277), Er at (0.2415, 0.0000, 0.7926), Tm at (0.1579, 0.0000, 0.9647) and Tm at (0.1790, 0.5000, 0.3822).

***

Density functional theory data (PBE) for a geometry-optimized CeEr6Tm structure.

For the formation energy, the calculation gives 3.78 kcal/mol of atoms. The value obtained for the total magnetic moment is 2.788 Bohr magnetons per cell. The energy above the lowest structure with this stoichiometry comes out at 0.000 eV per atom. For the calculated total energy, the calculation gives -4.559 eV/atom.

The space group is C2/m (No. 12) and the conventional cell measures 8.6973, 9.2042 and 6.3833 Å, with angles of 90.00, 98.00 and 90.00 degrees. The asymmetric unit holds Ce at (0.0000, 0.0000, 0.0000), Er at (0.1523, 0.5000, 0.1981), Er at (0.1661, 0.3191, 0.7074) and Tm at (0.0000, 0.0000, 0.5000).

***

Density functional theory data (PBE) for a geometry-optimized Ce2Er15Tm2 structure.

For the formation energy, the calculation gives 7.10 kcal/mol of atoms. The value obtained for the total magnetic moment is 2.262 Bohr magnetons per cell. For the calculated total energy, the calculation gives -4.390 eV/atom.

The space group is R-3m (No. 166, hexagonal axes) and the conventional cell measures 11.0069, 11.0069 and 17.5728 Å, with angles of 90.00, 90.00 and 120.00 degrees. The asymmetric unit holds Ce at (0.0000, 0.0000, 0.0757), Er at (0.0000, 0.3051, 0.0000), Er at (0.0000, 0.5000, 0.5000), Er at (0.0069, 0.5034, 0.1388) and Tm at (0.0000, 0.0000, 0.3175).

***

Density functional theory data (PBE) for a geometry-optimized Ce2Er2Tm7 structure.

For the formation energy, the calculation gives 4.72 kcal/mol of atoms. The value obtained for the total magnetic moment is 3.484 Bohr magnetons per cell. The energy above the lowest structure with this stoichiometry comes out at 0.000 eV per atom. For the calculated total energy, the calculation gives -4.549 eV/atom.

The space group is C2/m (No. 12) and the conventional cell measures 11.2424, 11.2357 and 5.8187 Å, with angles of 90.00, 112.00 and 90.00 degrees. The asymmetric unit holds Ce at (0.0622, 0.0000, 0.3220), Er at (0.0000, 0.2849, 0.0000), Tm at (0.0000, 0.5000, 0.5000), Tm at (0.1788, 0.2668, 0.6804) and Tm at (0.2246, 0.5000, 0.0903).

***

Density functional theory data (PBE) for a geometry-optimized CeEr2Tm3 structure.

For the formation energy, the calculation gives 1.29 kcal/mol of atoms. The value obtained for the total magnetic moment is 2.087 Bohr magnetons per cell. For the calculated total energy, the calculation gives -4.690 eV/atom.

The space group is Cmmm (No. 65) and the conventional cell measures 4.9576, 14.8343 and 4.9451 Å, with angles of 90.00, 90.00 and 90.00 degrees. The asymmetric unit holds Ce at (0.0000, 0.0000, 0.0000), Er at (0.0000, 0.3328, 0.0000), Tm at (0.0000, 0.1649, 0.5000) and Tm at (0.0000, 0.5000, 0.5000).

***

Density functional theory data (PBE) for a geometry-optimized CeEr4Tm7 structure.

For the formation energy, the calculation gives 5.52 kcal/mol of atoms. The value obtained for the total magnetic moment is 0.000 Bohr magnetons per cell. For the calculated total energy, the calculation gives -4.384 eV/atom.

The space group is C2/m (No. 12) and the conventional cell measures 11.1880, 5.3177 and 12.7355 Å, with angles of 90.00, 105.47 and 90.00 degrees. The asymmetric unit holds Ce at (0.0000, 0.0000, 0.0000), Er at (0.0466, 0.0000, 0.7853), Er at (0.1715, 0.5000, 0.2668), Tm at (0.0000, 0.5000, 0.0000), Tm at (0.0900, 0.5000, 0.6292), Tm at (0.1405, 0.0000, 0.4659) and Tm at (0.2354, 0.5000, 0.8969).

***

Density functional theory data (PBE) for a geometry-optimized Ce2Er12Tm5 structure.

For the formation energy, the calculation gives 3.37 kcal/mol of atoms. The value obtained for the total magnetic moment is 1.822 Bohr magnetons per cell. The energy above the lowest structure with this stoichiometry comes out at 0.008 eV per atom. For the calculated total energy, the calculation gives -4.537 eV/atom.

The space group is C2/m (No. 12) and the conventional cell measures 15.2432, 9.1242 and 8.4856 Å, with angles of 90.00, 92.24 and 90.00 degrees. The asymmetric unit holds Ce at (0.0000, 0.1492, 0.0000), Er at (0.0603, 0.0000, 0.3416), Er at (0.0687, 0.5000, 0.8699), Er at (0.1322, 0.1911, 0.6823), Er at (0.1460, 0.3210, 0.2372), Tm at (0.0000, 0.5000, 0.5000), Tm at (0.2129, 0.0000, 0.0369) and Tm at (0.2302, 0.5000, 0.5656).

***

Density functional theory data (PBE) for a geometry-optimized CeY3Er6Tm2 structure.

For the formation energy, the calculation gives 0.93 kcal/mol of atoms. The value obtained for the total magnetic moment is 2.219 Bohr magnetons per cell. For the calculated total energy, the calculation gives -5.097 eV/atom.

The space group is C2/m (No. 12) and the conventional cell measures 6.1048, 10.5641 and 11.6861 Å, with angles of 90.00, 100.00 and 90.00 degrees. The asymmetric unit holds Ce at (0.0000, 0.0000, 0.0000), Y at (0.0000, 0.1676, 0.5000), Y at (0.0000, 0.5000, 0.5000), Er at (0.2486, 0.0000, 0.7519), Er at (0.2486, 0.1656, 0.2479) and Tm at (0.0000, 0.3333, 0.0000).

***

Density functional theory data (PBE) for a geometry-optimized CeYEr5Tm2 structure.

For the formation energy, the calculation gives 4.13 kcal/mol of atoms. The value obtained for the total magnetic moment is 2.629 Bohr magnetons per cell. For the calculated total energy, the calculation gives -4.727 eV/atom.

The space group is Cmc2_1 (No. 36) and the conventional cell measures 5.6317, 21.3532 and 9.4539 Å, with angles of 90.00, 90.00 and 90.00 degrees. The asymmetric unit holds Ce at (0.0000, 0.1926, 0.0000), Y at (0.0000, 0.4031, 0.4048), Er at (0.0000, 0.0128, 0.9930), Er at (0.0000, 0.2663, 0.3115), Er at (0.0000, 0.3068, 0.6947), Er at (0.0000, 0.3948, 0.0224), Er at (0.0000, 0.4706, 0.7257), Tm at (0.0000, 0.1133, 0.3000) and Tm at (0.0000, 0.1359, 0.6832).

***

Density functional theory data (PBE) for a geometry-optimized CeY6Er3Tm2 structure.

For the formation energy, the calculation gives 0.99 kcal/mol of atoms. The value obtained for the total magnetic moment is 2.336 Bohr magnetons per cell. For the calculated total energy, the calculation gives -5.569 eV/atom.

The space group is C2/m (No. 12) and the conventional cell measures 6.1369, 10.6229 and 11.7461 Å, with angles of 90.00, 100.02 and 90.00 degrees. The asymmetric unit holds Ce at (0.0000, 0.0000, 0.0000), Y at (0.2484, 0.0000, 0.7500), Y at (0.2495, 0.1659, 0.2499), Er at (0.0000, 0.1675, 0.5000), Er at (0.0000, 0.5000, 0.5000) and Tm at (0.0000, 0.3334, 0.0000).

***

Density functional theory data (PBE) for a geometry-optimized CeY2Er6Tm3 structure.

For the formation energy, the calculation gives 0.98 kcal/mol of atoms. The value obtained for the total magnetic moment is 2.242 Bohr magnetons per cell. For the calculated total energy, the calculation gives -4.928 eV/atom.

The space group is C2/m (No. 12) and the conventional cell measures 6.0947, 10.5488 and 11.6570 Å, with angles of 90.00, 100.03 and 90.00 degrees. The asymmetric unit holds Ce at (0.0000, 0.0000, 0.0000), Y at (0.0000, 0.3334, 0.0000), Er at (0.2466, 0.0000, 0.7476), Er at (0.2497, 0.1654, 0.2521), Tm at (0.0000, 0.1674, 0.5000) and Tm at (0.0000, 0.5000, 0.5000).

***

Density functional theory data (PBE) for a geometry-optimized Ce2Y3Er6Tm structure.

For the formation energy, the calculation gives 1.12 kcal/mol of atoms. The value obtained for the total magnetic moment is 3.464 Bohr magnetons per cell. For the calculated total energy, the calculation gives -5.210 eV/atom.

The space group is C2/m (No. 12) and the conventional cell measures 6.1011, 10.5649 and 11.6703 Å, with angles of 90.00, 100.03 and 90.00 degrees. The asymmetric unit holds Ce at (0.0000, 0.1667, 0.0000), Y at (0.0000, 0.0000, 0.5000), Y at (0.0000, 0.3340, 0.5000), Er at (0.2478, 0.0000, 0.2477), Er at (0.2496, 0.1675, 0.7524) and Tm at (0.0000, 0.5000, 0.0000).